YMnAs2O8 | PBE with a Hubbard U | relaxed

Properties
Raw total energy   -6.973 eV per atom
V   13.019 Å³ per atom

Cell: 5.8889 5.8889 5.8889 Å, 106.93 106.93 114.68°
Positions (direct):
Y1 0.0000 0.0000 0.0000
Mn1 0.2500 0.7500 0.5000
As1 0.5000 0.5000 0.0000
As2 0.7500 0.2500 0.5000
O1 0.3207 0.1350 0.8143
O2 0.3207 0.5063 0.1857
O3 0.3883 0.0702 0.3181
O4 0.4937 0.6793 0.8143
O5 0.7521 0.0702 0.6819
O6 0.8650 0.6793 0.1857
O7 0.9298 0.2479 0.3181
O8 0.9298 0.6117 0.6819